Crystalline LuTiPb2 at its relaxed geometry. Source: the Alexandria database, functional PBE.

Cell: 5.189 5.189 5.189 Å, 60.00 60.00 60.00°
Last column: magnetic moment on the atom in μB.
Fractional coordinates of all 4 atoms:
1 Pb 0.250 0.250 0.250  0.01
2 Pb 0.750 0.750 0.750  0.01
3 Lu 0.000 0.000 0.000  0.17
4 Ti 0.500 0.500 0.500  1.51

Properties
E above lowest polymorph = 20 meV/atom
Total magnetic moment = 2.3 μB/f.u.
Symmetry = Fm-3m (225)
Calculated formation energy = -0.02 eV/atom